Entry 1:
# Zr2NbSb2

Zr2NbSb2 after structural relaxation (PBE, the Alexandria database).

Cell: 8.870 8.870 6.928 Å, 90.00 90.00 154.59°
Sites, in units of the cell vectors:
1 Zr 0.024 0.976 0.500
2 Zr 0.184 0.816 0.930
3 Zr 0.816 0.184 0.430
4 Zr 0.976 0.024 0.000
5 Nb 0.402 0.598 0.702
6 Nb 0.598 0.402 0.202
7 Sb 0.190 0.810 0.381
8 Sb 0.428 0.572 0.288
9 Sb 0.572 0.428 0.788
10 Sb 0.810 0.190 0.881

The offset from the most stable computed form is 0.00 eV/f.u. The space group is Cmc2_1. The density of states at the Fermi level is 3.92 states/eV/f.u.

Entry 2:
# ZrNbSb2

ZrNbSb2 after structural relaxation (PBE, the Alexandria database).

Cell: 7.002 7.002 7.002 Å, 33.92 33.92 33.92°
Sites, in units of the cell vectors:
1 Zr 0.000 0.000 0.000
2 Nb 0.500 0.500 0.500
3 Sb 0.247 0.247 0.247
4 Sb 0.753 0.753 0.753

The offset from the most stable computed form is 0.72 eV/f.u. The space group is R-3m. The density of states at the Fermi level is 3.01 states/eV/f.u.

Entry 3:
# ZrNbSb3

ZrNbSb3 after structural relaxation (PBE, the Alexandria database).

Cell: 5.323 5.323 5.323 Å, 90.00 90.00 90.00°
Sites, in units of the cell vectors:
1 Zr 0.000 0.000 0.000
2 Nb 0.500 0.500 0.500
3 Sb 0.000 0.500 0.500
4 Sb 0.500 0.000 0.500
5 Sb 0.500 0.500 0.000

The offset from the most stable computed form is 0.00 eV/f.u. The space group is Pm-3m. The density of states at the Fermi level is 3.91 states/eV/f.u.

Entry 4:
# Zr3NbSb4

Zr3NbSb4 after structural relaxation (PBE, the Alexandria database).

Cell: 5.491 10.958 6.117 Å, 90.00 90.00 90.00°
Sites, in units of the cell vectors:
1 Zr 0.250 0.002 0.157
2 Zr 0.250 0.498 0.157
3 Zr 0.250 0.750 0.842
4 Zr 0.750 0.250 0.158
5 Zr 0.750 0.502 0.843
6 Zr 0.750 0.998 0.843
7 Nb 0.250 0.250 0.842
8 Nb 0.750 0.750 0.158
9 Sb 0.250 0.005 0.671
10 Sb 0.250 0.250 0.329
11 Sb 0.250 0.495 0.671
12 Sb 0.250 0.750 0.328
13 Sb 0.750 0.250 0.672
14 Sb 0.750 0.505 0.329
15 Sb 0.750 0.750 0.671
16 Sb 0.750 0.995 0.329

Its raw total energy is -7.028 eV/atom. The space group is Pmmn. The density of states at the Fermi level is 5.00 states/eV/f.u.

Entry 5:
# ZrNbSb

ZrNbSb after structural relaxation (PBE, the Alexandria database).

Cell: 8.418 8.418 8.418 Å, 124.63 80.84 126.22°
Sites, in units of the cell vectors:
1 Zr 0.006 0.250 0.256
2 Zr 0.126 0.096 0.531
3 Zr 0.194 0.624 0.069
4 Zr 0.555 0.124 0.931
5 Zr 0.565 0.596 0.469
6 Zr 0.994 0.750 0.744
7 Nb 0.334 0.334 0.000
8 Nb 0.334 0.834 0.500
9 Nb 0.591 0.146 0.310
10 Nb 0.591 0.781 0.945
11 Nb 0.836 0.281 0.690
12 Nb 0.836 0.646 0.055
13 Sb 0.245 0.068 0.163
14 Sb 0.245 0.582 0.677
15 Sb 0.546 0.347 0.699
16 Sb 0.648 0.847 0.301
17 Sb 0.905 0.082 0.837
18 Sb 0.905 0.568 0.323

Its raw total energy is -8.014 eV/atom. The space group is Ima2. The density of states at the Fermi level is 2.79 states/eV/f.u.

Entry 6:
# ZrNbSb2

ZrNbSb2 after structural relaxation (PBE, the Alexandria database).

Cell: 7.626 7.626 7.487 Å, 112.48 112.48 30.46°
Sites, in units of the cell vectors:
1 Zr 0.105 0.105 0.194
2 Zr 0.895 0.895 0.806
3 Nb 0.398 0.398 0.490
4 Nb 0.602 0.602 0.510
5 Sb 0.236 0.236 0.672
6 Sb 0.440 0.440 0.149
7 Sb 0.560 0.560 0.851
8 Sb 0.764 0.764 0.328

The offset from the most stable computed form is 0.38 eV/f.u. The space group is C2/m. The density of states at the Fermi level is 2.28 states/eV/f.u.

Entry 7:
# ZrNb2Sb

ZrNb2Sb after structural relaxation (PBE, the Alexandria database).

Cell: 4.456 3.612 10.437 Å, 90.00 102.31 90.00°
Sites, in units of the cell vectors:
1 Zr 0.194 0.250 0.387
2 Zr 0.806 0.750 0.613
3 Nb 0.059 0.750 0.118
4 Nb 0.445 0.750 0.890
5 Nb 0.555 0.250 0.110
6 Nb 0.941 0.250 0.882
7 Sb 0.338 0.250 0.676
8 Sb 0.662 0.750 0.324

Its raw total energy is -8.585 eV/atom. The space group is P2_1/m. The density of states at the Fermi level is 3.18 states/eV/f.u.

Entry 8:
# Zr3NbSb

Zr3NbSb after structural relaxation (PBE, the Alexandria database).

Cell: 5.208 5.208 5.208 Å, 90.00 90.00 90.00°
Sites, in units of the cell vectors:
1 Zr 0.000 0.000 0.500
2 Zr 0.000 0.500 0.000
3 Zr 0.500 0.000 0.000
4 Nb 0.500 0.500 0.500
5 Sb 0.000 0.000 0.000

The offset from the most stable computed form is 6.51 eV/f.u. The space group is Pm-3m. The density of states at the Fermi level is 4.50 states/eV/f.u.

Entry 9:
# ZrNb2Sb

ZrNb2Sb after structural relaxation (PBE, the Alexandria database).

Cell: 6.238 6.238 6.238 Å, 102.23 102.23 125.20°
Sites, in units of the cell vectors:
1 Zr 0.000 0.000 0.000
2 Zr 0.750 0.250 0.500
3 Nb 0.146 0.625 0.021
4 Nb 0.375 0.396 0.521
5 Nb 0.604 0.125 0.979
6 Nb 0.875 0.854 0.479
7 Sb 0.250 0.750 0.500
8 Sb 0.500 0.500 0.000

Its raw total energy is -7.757 eV/atom. The space group is I-42d. The density of states at the Fermi level is 4.43 states/eV/f.u.

Entry 10:
# Zr2NbSb2

Zr2NbSb2 after structural relaxation (PBE, the Alexandria database).

Cell: 7.466 7.466 3.946 Å, 90.00 90.00 90.00°
Sites, in units of the cell vectors:
1 Zr 0.156 0.344 0.000
2 Zr 0.344 0.844 0.000
3 Zr 0.656 0.156 0.000
4 Zr 0.844 0.656 0.000
5 Nb 0.000 0.000 0.500
6 Nb 0.500 0.500 0.500
7 Sb 0.147 0.647 0.500
8 Sb 0.353 0.147 0.500
9 Sb 0.647 0.853 0.500
10 Sb 0.853 0.353 0.500

The offset from the most stable computed form is 0.02 eV/f.u. The space group is P4/mbm. The density of states at the Fermi level is 3.18 states/eV/f.u.

Entry 11:
# ZrNbSb2

ZrNbSb2 after structural relaxation (PBE, the Alexandria database).

Cell: 8.032 8.032 8.032 Å, 133.54 133.54 67.81°
Sites, in units of the cell vectors:
1 Zr 0.000 0.000 0.000
2 Zr 0.750 0.250 0.500
3 Nb 0.250 0.750 0.500
4 Nb 0.500 0.500 0.000
5 Sb 0.139 0.625 0.014
6 Sb 0.375 0.389 0.514
7 Sb 0.611 0.125 0.986
8 Sb 0.875 0.861 0.486

The offset from the most stable computed form is 3.18 eV/f.u. The space group is I-42d. The density of states at the Fermi level is 4.23 states/eV/f.u.

Entry 12:
# ScNb

ScNb after structural relaxation (PBE, the Alexandria database).

Cell: 3.015 4.721 5.938 Å, 90.00 102.00 90.00°
Sites, in units of the cell vectors:
1 Sc 0.185 0.250 0.353
2 Sc 0.815 0.750 0.647
3 Nb 0.379 0.250 0.882
4 Nb 0.621 0.750 0.118

As for the calculated formation energy: 0.07 eV/atom. The offset from the most stable computed form is 0.00 eV/f.u. The space group is P2_1/m. The density of states at the Fermi level is 1.49 states/eV/f.u.

Entry 13:
# Sc4Nb

Sc4Nb after structural relaxation (PBE, the Alexandria database).

Cell: 5.095 5.095 5.095 Å, 90.00 90.00 90.00°
Sites, in units of the cell vectors:
1 Sc 0.000 0.000 0.000
2 Sc 0.000 0.500 0.500
3 Sc 0.500 0.000 0.500
4 Sc 0.500 0.500 0.000
5 Nb 0.500 0.500 0.500

As for the calculated formation energy: 0.55 eV/atom. The space group is Pm-3m. The density of states at the Fermi level is 6.84 states/eV/f.u.

Entry 14:
# ScNb

ScNb after structural relaxation (PBE, the Alexandria database).

Cell: 7.321 7.321 7.321 Å, 153.46 56.61 130.98°
Sites, in units of the cell vectors:
1 Sc 0.000 0.000 0.000
2 Sc 0.055 0.738 0.317
3 Sc 0.422 0.738 0.683
4 Nb 0.484 0.484 0.000
5 Nb 0.588 0.210 0.378
6 Nb 0.832 0.210 0.622

As for the calculated formation energy: 0.31 eV/atom. The offset from the most stable computed form is 0.48 eV/f.u. The space group is Imm2. The density of states at the Fermi level is 2.66 states/eV/f.u.

Entry 15:
# Sc5Nb

Sc5Nb after structural relaxation (PBE, the Alexandria database).

Cell: 7.132 7.132 4.513 Å, 90.00 90.00 143.24°
Sites, in units of the cell vectors:
1 Sc 0.000 0.000 0.000
2 Sc 0.157 0.843 0.500
3 Sc 0.341 0.659 0.000
4 Sc 0.659 0.341 0.000
5 Sc 0.843 0.157 0.500
6 Nb 0.500 0.500 0.500

As for the calculated formation energy: 0.07 eV/atom. The space group is Cmmm. The density of states at the Fermi level is 7.88 states/eV/f.u.

Entry 16:
# ScNb

ScNb after structural relaxation (PBE, the Alexandria database).

Cell: 5.492 6.020 10.020 Å, 90.00 90.00 90.00°
Sites, in units of the cell vectors:
1 Sc 0.021 0.037 0.240
2 Sc 0.246 0.627 0.001
3 Sc 0.254 0.373 0.501
4 Sc 0.479 0.963 0.740
5 Sc 0.521 0.463 0.760
6 Sc 0.746 0.873 0.999
7 Sc 0.754 0.127 0.499
8 Sc 0.979 0.537 0.260
9 Nb 0.003 0.241 0.770
10 Nb 0.250 0.146 0.988
11 Nb 0.250 0.854 0.488
12 Nb 0.497 0.759 0.270
13 Nb 0.503 0.259 0.230
14 Nb 0.750 0.354 0.012
15 Nb 0.750 0.646 0.512
16 Nb 0.997 0.741 0.730

As for the calculated formation energy: 0.18 eV/atom. The offset from the most stable computed form is 0.21 eV/f.u. The space group is P2_12_12_1. The density of states at the Fermi level is 2.42 states/eV/f.u.

Entry 17:
# ScNb

ScNb after structural relaxation (PBE, the Alexandria database).

Cell: 3.237 15.530 5.098 Å, 90.00 90.00 90.00°
Sites, in units of the cell vectors:
1 Sc 0.250 0.071 0.204
2 Sc 0.250 0.429 0.204
3 Sc 0.250 0.750 0.794
4 Sc 0.750 0.250 0.206
5 Sc 0.750 0.571 0.796
6 Sc 0.750 0.929 0.796
7 Nb 0.250 0.250 0.708
8 Nb 0.250 0.614 0.293
9 Nb 0.250 0.886 0.293
10 Nb 0.750 0.114 0.707
11 Nb 0.750 0.386 0.707
12 Nb 0.750 0.750 0.292

As for the calculated formation energy: 0.19 eV/atom. The offset from the most stable computed form is 0.23 eV/f.u. The space group is Pmmn. The density of states at the Fermi level is 2.86 states/eV/f.u.

Entry 18:
# ScNb

ScNb after structural relaxation (PBE, the Alexandria database).

Cell: 2.910 2.910 4.822 Å, 90.00 90.00 97.84°
Sites, in units of the cell vectors:
1 Sc 0.000 0.000 0.000
2 Nb 0.500 0.500 0.500

As for the calculated formation energy: 0.15 eV/atom. The offset from the most stable computed form is 0.16 eV/f.u. The space group is Cmmm. The density of states at the Fermi level is 2.74 states/eV/f.u.

Entry 19:
# ScNb

ScNb after structural relaxation (PBE, the Alexandria database).

Cell: 3.070 3.070 5.041 Å, 90.00 90.00 120.00°
Sites, in units of the cell vectors:
1 Sc 0.000 0.000 0.000
2 Nb 0.333 0.667 0.500

As for the calculated formation energy: 0.17 eV/atom. The offset from the most stable computed form is 0.20 eV/f.u. The space group is P-6m2. The density of states at the Fermi level is 2.61 states/eV/f.u.

Entry 20:
# ScNb

ScNb after structural relaxation (PBE, the Alexandria database).

Cell: 5.590 5.590 5.628 Å, 90.00 90.00 90.00°
Sites, in units of the cell vectors:
1 Sc 0.180 0.180 0.000
2 Sc 0.320 0.680 0.500
3 Sc 0.680 0.320 0.500
4 Sc 0.820 0.820 0.000
5 Nb 0.166 0.166 0.500
6 Nb 0.334 0.666 0.000
7 Nb 0.666 0.334 0.000
8 Nb 0.834 0.834 0.500

As for the calculated formation energy: 0.74 eV/atom. The offset from the most stable computed form is 1.33 eV/f.u. The space group is P4_2/mnm. The density of states at the Fermi level is 2.16 states/eV/f.u.

Entry 21:
# ScNb

ScNb after structural relaxation (PBE, the Alexandria database).

Cell: 4.698 4.698 4.698 Å, 65.27 65.27 65.27°
Sites, in units of the cell vectors:
1 Sc 0.135 0.135 0.135
2 Sc 0.865 0.865 0.865
3 Nb 0.385 0.385 0.385
4 Nb 0.615 0.615 0.615

As for the calculated formation energy: 0.10 eV/atom. The offset from the most stable computed form is 0.05 eV/f.u. The space group is R-3m. The density of states at the Fermi level is 1.66 states/eV/f.u.

Entry 22:
# ScNb

ScNb after structural relaxation (PBE, the Alexandria database).

Cell: 8.862 8.862 4.580 Å, 90.00 90.00 90.00°
Sites, in units of the cell vectors:
1 Sc 0.055 0.666 0.000
2 Sc 0.138 0.224 0.500
3 Sc 0.224 0.862 0.500
4 Sc 0.334 0.055 0.000
5 Sc 0.666 0.945 0.000
6 Sc 0.776 0.138 0.500
7 Sc 0.862 0.776 0.500
8 Sc 0.945 0.334 0.000
9 Nb 0.232 0.542 0.500
10 Nb 0.305 0.383 0.000
11 Nb 0.383 0.695 0.000
12 Nb 0.458 0.232 0.500
13 Nb 0.542 0.768 0.500
14 Nb 0.617 0.305 0.000
15 Nb 0.695 0.617 0.000
16 Nb 0.768 0.458 0.500

As for the calculated formation energy: 0.35 eV/atom. The offset from the most stable computed form is 0.56 eV/f.u. The space group is P4/m. The density of states at the Fermi level is 2.14 states/eV/f.u.

Entry 23:
# ScNb

ScNb after structural relaxation (PBE, the Alexandria database).

Cell: 3.945 3.945 3.945 Å, 60.00 60.00 60.00°
Sites, in units of the cell vectors:
1 Sc 0.000 0.000 0.000
2 Nb 0.500 0.500 0.500

As for the calculated formation energy: 1.08 eV/atom. The offset from the most stable computed form is 2.02 eV/f.u. The space group is Fm-3m. The density of states at the Fermi level is 4.23 states/eV/f.u.

Entry 24:
# ScNb

ScNb after structural relaxation (PBE, the Alexandria database).

Cell: 4.983 4.983 5.229 Å, 90.00 90.00 120.00°
Sites, in units of the cell vectors:
1 Sc 0.333 0.667 0.250
2 Sc 0.667 0.333 0.750
3 Nb 0.333 0.667 0.750
4 Nb 0.667 0.333 0.250

As for the calculated formation energy: 1.76 eV/atom. The offset from the most stable computed form is 3.36 eV/f.u. The space group is P6_3/mmc. The density of states at the Fermi level is 3.45 states/eV/f.u.